This record from Alexandria describes a relaxed structure of La5Pr2NdTm. The functional is PBE-GGA.

Cell: 10.1903 10.1903 10.1903 Å, 127.08 127.08 78.12°
Closest atoms and distances in Å follow each position.
Sites, in units of the cell vectors:
La (0.0000, 0.0000, 0.0000)  4 Pr 3.64, 8 La 3.94, 2 Nd 3.96
La (0.0713, 0.5713, 0.9251)  1 Pr 3.13, 1 Tm 3.23
La (0.1462, 0.0713, 0.5000)  1 Pr 3.13, 1 Tm 3.23
La (0.3538, 0.8538, 0.9251)  1 Pr 3.13, 1 Tm 3.23
La (0.4287, 0.3538, 0.5000)  1 Pr 3.13, 1 Tm 3.23
La (0.5000, 0.5000, 0.0000)  4 Pr 3.64, 8 La 3.94, 2 Nd 3.96
La (0.5713, 0.6462, 0.5000)  1 Pr 3.13, 1 Tm 3.23
La (0.6462, 0.1462, 0.0749)  1 Pr 3.13, 1 Tm 3.23
La (0.8538, 0.9287, 0.5000)  1 Pr 3.13, 1 Tm 3.23
La (0.9287, 0.4287, 0.0749)  1 Pr 3.13, 1 Tm 3.23
Pr (0.1164, 0.3836, 0.5000)  1 Pr 2.99, 2 La 3.13
Pr (0.3836, 0.8836, 0.2672)  1 Pr 2.99, 2 La 3.13
Pr (0.6164, 0.1164, 0.7328)  1 Pr 2.99, 2 La 3.13
Pr (0.8836, 0.6164, 0.5000)  1 Pr 2.99, 2 La 3.13
Nd (0.2500, 0.2500, 0.0000)  10 La 3.67-3.96
Nd (0.7500, 0.7500, 0.0000)  10 La 3.67-3.96
Tm (0.2500, 0.7500, 0.5000)  4 La 3.23
Tm (0.7500, 0.2500, 0.5000)  4 La 3.23

Results
The formation energy is 2.4 eV per formula unit. As for the space-group type: I4/mcm (140). Its density of states at the Fermi level is 33.3 states/eV/cell. As for the total magnetic moment: 0.00 μB per formula unit.

---

This record from Alexandria describes a relaxed structure of La2Pr3NdTm6. The functional is PBE-GGA.

Cell: 6.2682 6.2682 11.7771 Å, 95.09 95.09 119.97°
Closest atoms and distances in Å follow each position.
Sites, in units of the cell vectors:
La (0.1665, 0.8335, 0.0000)  6 Tm 3.58, 3 La 3.61-3.62, 3 Nd 3.62
La (0.8335, 0.1665, 0.0000)  6 Tm 3.58, 3 La 3.61-3.62, 3 Nd 3.62
Pr (0.0000, 0.0000, 0.5000)  6 Tm 3.56-3.57, 6 Pr 3.62
Pr (0.3335, 0.6665, 0.5000)  6 Tm 3.56-3.57, 6 Pr 3.62
Pr (0.6665, 0.3335, 0.5000)  6 Tm 3.56-3.57, 6 Pr 3.62
Nd (0.5000, 0.5000, 0.0000)  6 Tm 3.58, 6 La 3.62
Tm (0.0837, 0.4163, 0.7493)  3 Pr 3.56-3.57, 1 Nd 3.58, 2 La 3.58, 6 Tm 3.61-3.62
Tm (0.2512, 0.2512, 0.2507)  3 Pr 3.56-3.57, 1 Nd 3.58, 2 La 3.58, 6 Tm 3.61-3.62
Tm (0.4163, 0.0837, 0.7493)  3 Pr 3.56-3.57, 1 Nd 3.58, 2 La 3.58, 6 Tm 3.61-3.62
Tm (0.5837, 0.9163, 0.2507)  3 Pr 3.56-3.57, 1 Nd 3.58, 2 La 3.58, 6 Tm 3.61-3.62
Tm (0.7488, 0.7488, 0.7493)  3 Pr 3.56-3.57, 1 Nd 3.58, 2 La 3.58, 6 Tm 3.61-3.62
Tm (0.9163, 0.5837, 0.2507)  3 Pr 3.56-3.57, 1 Nd 3.58, 2 La 3.58, 6 Tm 3.61-3.62

Results
The formation energy is 0.2 eV per formula unit. As for the space-group type: C2/m (12). Its density of states at the Fermi level is 12.5 states/eV/cell. As for the total magnetic moment: 0.00 μB per formula unit.

---

This record from Alexandria describes a relaxed structure of La2PrNd2Tm2. The functional is PBE-GGA.

Cell: 11.5340 5.1619 8.1856 Å, 90.00 98.20 90.00°
Closest atoms and distances in Å follow each position.
Sites, in units of the cell vectors:
La (0.1444, 0.0000, 0.4293)  3 La 3.62-3.68, 5 Nd 3.66-3.69, 1 Pr 3.67, 3 Tm 3.67-3.68
La (0.3556, 0.5000, 0.5707)  3 La 3.62-3.68, 5 Nd 3.66-3.69, 1 Pr 3.67, 3 Tm 3.67-3.68
La (0.6444, 0.5000, 0.4293)  3 La 3.62-3.68, 5 Nd 3.66-3.69, 1 Pr 3.67, 3 Tm 3.67-3.68
La (0.8556, 0.0000, 0.5707)  3 La 3.62-3.68, 5 Nd 3.66-3.69, 1 Pr 3.67, 3 Tm 3.67-3.68
Pr (0.0000, 0.0000, 0.0000)  6 Tm 3.61-3.65, 4 Nd 3.63, 2 La 3.67
Pr (0.5000, 0.5000, 0.0000)  6 Tm 3.61-3.65, 4 Nd 3.63, 2 La 3.67
Nd (0.0714, 0.5000, 0.7197)  4 Tm 3.59-3.67, 2 Pr 3.63, 5 La 3.66-3.69, 1 Nd 3.74
Nd (0.4286, 0.0000, 0.2803)  4 Tm 3.59-3.67, 2 Pr 3.63, 5 La 3.66-3.69, 1 Nd 3.74
Nd (0.5714, 0.0000, 0.7197)  4 Tm 3.59-3.67, 2 Pr 3.63, 5 La 3.66-3.69, 1 Nd 3.74
Nd (0.9286, 0.5000, 0.2803)  4 Tm 3.59-3.67, 2 Pr 3.63, 5 La 3.66-3.69, 1 Nd 3.74
Tm (0.2161, 0.5000, 0.1384)  4 Nd 3.59-3.67, 2 Tm 3.59, 3 Pr 3.61-3.65, 3 La 3.67-3.68
Tm (0.2839, 0.0000, 0.8616)  4 Nd 3.59-3.67, 2 Tm 3.59, 3 Pr 3.61-3.65, 3 La 3.67-3.68
Tm (0.7161, 0.0000, 0.1384)  4 Nd 3.59-3.67, 2 Tm 3.59, 3 Pr 3.61-3.65, 3 La 3.67-3.68
Tm (0.7839, 0.5000, 0.8616)  4 Nd 3.59-3.67, 2 Tm 3.59, 3 Pr 3.61-3.65, 3 La 3.67-3.68

Results
The formation energy is 0.2 eV per formula unit. As for the space-group type: C2/m (12). Its density of states at the Fermi level is 23.2 states/eV/cell. As for the total magnetic moment: 0.00 μB per formula unit.

---

This record from Alexandria describes a relaxed structure of La6PrNd2Tm. The functional is PBE-GGA.

Cell: 9.1725 9.1725 9.3212 Å, 90.11 90.11 114.40°
Closest atoms and distances in Å follow each position.
Sites, in units of the cell vectors:
La (0.0288, 0.4654, 0.8188)  1 Pr 3.42, 3 La 3.42-3.52, 1 Tm 3.46, 2 Nd 3.52-3.81
La (0.0781, 0.7756, 0.5922)  4 La 3.28-3.61, 1 Pr 3.51, 1 Nd 3.63
La (0.2244, 0.9219, 0.9078)  4 La 3.28-3.61, 1 Pr 3.51, 1 Nd 3.63
La (0.2817, 0.5687, 0.4053)  4 La 3.26-3.61, 1 Tm 3.48, 1 Nd 3.56
La (0.4313, 0.7183, 0.0947)  4 La 3.26-3.61, 1 Tm 3.48, 1 Nd 3.56
La (0.4654, 0.0288, 0.3188)  1 Pr 3.42, 3 La 3.42-3.52, 1 Tm 3.46, 2 Nd 3.52-3.81
La (0.5346, 0.9712, 0.6812)  1 Pr 3.42, 3 La 3.42-3.52, 1 Tm 3.46, 2 Nd 3.52-3.81
La (0.5687, 0.2817, 0.9053)  4 La 3.26-3.61, 1 Tm 3.48, 1 Nd 3.56
La (0.7183, 0.4313, 0.5947)  4 La 3.26-3.61, 1 Tm 3.48, 1 Nd 3.56
La (0.7756, 0.0781, 0.0922)  4 La 3.28-3.61, 1 Pr 3.51, 1 Nd 3.63
La (0.9219, 0.2244, 0.4078)  4 La 3.28-3.61, 1 Pr 3.51, 1 Nd 3.63
La (0.9712, 0.5346, 0.1812)  1 Pr 3.42, 3 La 3.42-3.52, 1 Tm 3.46, 2 Nd 3.52-3.81
Pr (0.0692, 0.9308, 0.2500)  6 La 3.42-3.77, 2 Nd 3.51
Pr (0.9308, 0.0692, 0.7500)  6 La 3.42-3.77, 2 Nd 3.51
Nd (0.2067, 0.2964, 0.0647)  2 Tm 3.49-3.86, 2 Pr 3.51-3.87, 6 La 3.52-3.81
Nd (0.2964, 0.2067, 0.5647)  2 Tm 3.49-3.86, 2 Pr 3.51-3.87, 6 La 3.52-3.81
Nd (0.7036, 0.7933, 0.4353)  2 Tm 3.49-3.86, 2 Pr 3.51-3.87, 6 La 3.52-3.81
Nd (0.7933, 0.7036, 0.9353)  2 Tm 3.49-3.86, 2 Pr 3.51-3.87, 6 La 3.52-3.81
Tm (0.4296, 0.5704, 0.7500)  6 La 3.46-3.68, 4 Nd 3.49-3.86
Tm (0.5704, 0.4296, 0.2500)  6 La 3.46-3.68, 4 Nd 3.49-3.86

Results
The formation energy is 1.1 eV per formula unit. As for the space-group type: C2/c (15). Its density of states at the Fermi level is 25.0 states/eV/cell. As for the total magnetic moment: 0.00 μB per formula unit.